[1]
CeSc2Ag (PBE, optimized geometry); energy above the lowest structure with this stoichiometry = 47 kJ/mol of formula units; size of the total moment = 0.004 μB/atom; symmetry = No. 160; E_form = 0.0376 eV/atom
1.0
3.2549 0.0000 0.0000
1.6275 2.8188 0.0000
1.6275 0.9396 10.2274
Ce Sc Ag
1 2 1
Cartesian
3.2549 1.8792 5.0997
1.6275 0.9396 7.8991
1.6275 0.9396 2.3337
3.2549 1.8792 0.0086

[2]
PmDySb2O8 (PBE, optimized geometry); size of the total moment = 0.000 μB/atom; symmetry = No. 82; formation energy from raw total energies = -2326 meV per atom
1.0
-1.8898 1.7939 -4.6276
2.1599 -4.1610 -2.4951
-4.9127 -1.7780 4.3643
O Sb Pm Dy
8 2 1 1
Cartesian
-2.5685 -0.5333 -4.1388
-4.7738 -1.2503 -0.0769
-0.2813 -3.7677 -2.4595
-0.5063 -2.4554 -4.8549
-3.0647 -3.6086 1.3943
-0.9402 -0.9758 -1.9792
-3.0084 -2.8627 -1.4164
-3.4268 -1.1263 2.4980
0.1351 -1.1835 -3.5613
-1.3088 -3.5612 -0.8460
0.0000 0.0000 0.0000
-3.3337 -0.5838 -1.9123

[3]
Tb2Ho3In (PBE, optimized geometry); energy above the lowest structure with this stoichiometry = 37 kJ/mol of formula units; size of the total moment = 0.000 μB/atom; symmetry = No. 15; E_form = -0.0943 eV/atom
1.0
-4.2118 2.6835 -4.5085
3.8223 -1.9753 -4.7465
-3.0796 -8.0775 3.0894
Ho In Tb
6 2 4
Cartesian
1.9896 -0.9226 -4.4988
-1.1524 -2.5866 0.6435
-0.1696 -2.9828 -2.7235
-3.2996 -4.3864 -3.4422
-2.3167 -4.7826 -6.8091
-2.3791 1.6309 -4.7562
-0.2868 0.2977 -2.5165
-0.1027 0.4105 -6.7385
-3.0797 -1.2537 -1.9014
-1.9974 -1.7132 -5.1620
-0.3895 -6.1155 -4.2642
-1.4717 -5.6560 -1.0036

[4]
AcNiBiH (PBE, optimized geometry); energy above the lowest structure with this stoichiometry = 0 kJ/mol of formula units; size of the total moment = 0.000 μB/atom; symmetry = No. 156
1.0
-1.2992 -3.0788 -3.1034
1.2529 -1.3561 4.1717
-4.4118 0.3972 1.4529
H Ni Ac Bi
1 1 1 1
Cartesian
-0.7759 -1.2869 1.6016
-3.6962 -1.0216 2.5609
-1.8934 -1.8365 -0.7362
-3.6607 -3.5708 1.7243

[5]
Cu2Sb2S5 (PBE, optimized geometry); size of the total moment = 0.000 μB/atom; symmetry = No. 12; formation energy from raw total energies = -153 meV per atom
1.0
3.8450 0.0000 0.0000
-1.9225 9.0358 0.2995
0.0000 -0.9842 6.1243
S Sb Cu
5 2 2
Cartesian
0.0000 5.2332 6.0348
0.0000 0.0000 0.0000
1.9225 5.9845 3.0801
1.9225 2.8184 0.3890
0.0000 2.0671 3.3436
1.9225 0.9517 2.0214
0.0000 7.0999 4.4023
1.9225 6.7550 0.9449
0.0000 1.2966 5.4789

[6]
Cd4FePt15 (PBE, optimized geometry); size of the total moment = 0.220 μB/atom; symmetry = No. 123; E_form = -0.1968 eV/atom
1.0
-0.3653 -1.5657 3.6723
-0.0574 -3.6852 -1.5769
20.0703 -0.9869 1.5755
Cd Pt Fe
4 15 1
Cartesian
12.0746 -0.5937 0.9478
16.1465 -0.7939 1.2675
7.9957 -0.3932 0.6276
3.9238 -0.1929 0.3080
5.9293 -2.1356 -0.3208
1.6719 -0.8740 1.9817
18.0331 -1.6786 3.2660
9.8525 -1.2763 2.6239
15.9482 -3.4200 2.3162
11.8636 -3.2192 1.9955
13.9296 -1.4768 2.9439
14.0835 -2.5365 0.3193
18.1870 -2.7383 0.6414
-0.2113 -2.6254 1.0477
10.0064 -2.3360 -0.0007
5.7754 -1.0758 2.3038
1.8258 -1.9338 -0.6429
3.6994 -2.8177 1.3547
7.7840 -3.0186 1.6753
0.0000 0.0000 0.0000

[7]
Mn2CuIr (PBE, optimized geometry); size of the total moment = 1.736 μB/atom; symmetry = No. 10; E_form = 0.1404 eV/atom
1.0
2.7683 0.0000 0.0000
0.0000 4.6341 0.0207
0.0000 3.1362 4.2290
Mn Ir Cu
2 1 1
Cartesian
0.0000 0.0000 0.0000
1.3841 2.3171 0.0103
0.0000 1.5681 2.1145
1.3841 3.8852 2.1248

[8]
CsKB2Cl8 (PBE, optimized geometry); size of the total moment = 0.000 μB/atom; symmetry = No. 147; formation energy from raw total energies = -1346 meV per atom
1.0
6.3816 0.0000 0.0000
-3.1908 5.5267 0.0000
0.0000 0.0000 10.4724
Cl B Cs K
8 2 1 1
Cartesian
0.0000 3.6844 9.8189
3.9337 0.2404 3.1230
-0.7429 5.2863 7.3494
-1.0158 2.2402 7.3494
1.7587 3.5269 7.3494
1.4321 1.9998 3.1230
3.1908 1.8422 0.6535
4.2066 3.2865 3.1230
3.1908 1.8422 2.5233
0.0000 3.6844 7.9491
0.0000 0.0000 0.0000
0.0000 0.0000 5.2362

[9]
BaFeTeN2 (PBE, optimized geometry); energy above the lowest structure with this stoichiometry = 576 kJ/mol of formula units; size of the total moment = 1.262 μB/atom; symmetry = No. 123; formation energy from raw total energies = 1878 meV per atom
1.0
4.5300 0.0000 0.0000
0.0000 4.5300 0.0000
0.0000 0.0000 7.2354
Te N Ba Fe
1 2 1 1
Cartesian
0.0000 0.0000 3.6177
2.2650 0.0000 0.0000
0.0000 2.2650 0.0000
0.0000 0.0000 0.0000
2.2650 2.2650 3.6177

Q: What is the formula in the ninth record?
A: BaFeTeN2